Crystalline AcTbPrSm3 at its relaxed geometry, computed with PBE.

Results
- energy of formation from the pure elements (eV per atom) = 0.0357
- total energy (eV for the cell shown) = -54.9

```
data_AcTbPrSm3
_cell_length_a 8.271
_cell_length_b 5.223
_cell_length_c 10.431
_cell_angle_alpha 90.00
_cell_angle_beta 108.63
_cell_angle_gamma 90.00
_space_group_name_H-M_alt 'P 1 21/m 1'
_space_group_IT_number 11
loop_
_space_group_symop_operation_xyz
'x,y,z'
'-x,-y,-z'
'-x,y+1/2,-z'
'x,-y+1/2,z'
loop_
_atom_site_label
_atom_site_type_symbol
_atom_site_fract_x
_atom_site_fract_y
_atom_site_fract_z
Ac1 Ac 0.167 0.250 0.293
Tb1 Tb 0.498 0.250 0.626
Pr1 Pr 0.496 0.750 0.874
Sm1 Sm 0.169 0.750 0.040
Sm2 Sm 0.171 0.250 0.792
Sm3 Sm 0.171 0.750 0.545
```